Entry P
Compound: AcNdTm3
Source: Alexandria
Functional: PBE
Structure: optimized geometry

extended XYZ file:
```
20
Lattice="9.767 0.000 0.000 0.000 6.215 0.000 -3.773 0.000 11.186" Properties=species:S:1:pos:R:3 pbc="T T T"
Ac 0.953 1.505 0.276
Ac -0.934 1.602 5.869
Ac 6.928 4.613 5.317
Ac 5.042 4.709 10.910
Nd 1.822 0.846 3.663
Nd -0.064 2.261 9.256
Nd 6.059 3.954 1.930
Nd 4.172 5.368 7.523
Tm -0.014 3.898 3.118
Tm -1.901 5.424 8.710
Tm 2.677 4.431 0.840
Tm 0.791 4.891 6.432
Tm 3.414 4.129 4.257
Tm 1.528 5.193 9.850
Tm 4.467 1.022 1.336
Tm 2.580 2.086 6.929
Tm 5.203 1.323 4.753
Tm 3.317 1.784 10.346
Tm 7.895 0.791 2.475
Tm 6.009 2.316 8.068
```

***

Entry Q
Compound: AcNdTm3
Source: Alexandria
Functional: PBE
Structure: optimized geometry

extended XYZ file:
```
20
Lattice="9.402 0.000 0.000 0.000 6.386 0.000 -5.125 0.000 11.357" Properties=species:S:1:pos:R:3 pbc="T T T"
Ac 0.930 1.108 1.161
Ac -1.633 2.085 6.839
Ac 5.909 4.301 4.518
Ac 3.347 5.279 10.197
Nd 2.449 4.246 0.017
Nd -0.113 5.334 5.696
Nd 4.390 1.053 5.662
Nd 1.827 2.140 11.340
Tm -0.568 4.252 2.333
Tm -3.131 5.327 8.012
Tm -1.287 1.037 10.245
Tm 1.275 2.156 4.566
Tm 0.098 4.296 9.080
Tm 2.660 5.283 3.401
Tm 1.616 1.103 7.956
Tm 4.179 2.090 2.277
Tm 3.001 4.230 6.791
Tm 5.564 5.349 1.112
Tm 7.407 1.059 3.346
Tm 4.845 2.134 9.024
```

***

What is the stability order? It is entry Q, entry P, from most stable to least stable.

***

Entry P
Compound: Ac2Nd6Tm
Source: Alexandria
Functional: PBE
Structure: optimized geometry

extended XYZ file:
```
9
Lattice="3.741 0.000 0.000 -1.870 3.239 0.000 0.000 0.000 27.522" Properties=species:S:1:pos:R:3 pbc="T T T"
Ac 0.000 0.000 4.767
Ac 0.000 0.000 22.756
Nd 0.000 0.000 10.929
Nd 0.000 0.000 16.593
Nd 1.870 1.080 1.708
Nd 1.870 1.080 7.978
Nd 1.870 1.080 19.544
Nd 1.870 1.080 25.815
Tm 1.870 1.080 13.761
```

***

Entry Q
Compound: Ac2Nd6Tm
Source: Alexandria
Functional: PBE
Structure: optimized geometry

extended XYZ file:
```
18
Lattice="7.838 -5.111 0.000 7.838 5.111 0.000 -4.376 0.000 8.229" Properties=species:S:1:pos:R:3 pbc="T T T"
Ac 0.682 0.788 1.482
Ac -1.506 -0.788 5.597
Ac 12.807 0.788 2.633
Ac 10.619 -0.788 6.748
Nd 3.428 2.499 3.455
Nd 4.035 0.932 0.140
Nd 2.891 0.826 6.889
Nd 1.847 -0.932 4.255
Nd 10.061 2.499 0.659
Nd 5.078 -0.826 2.774
Nd 6.222 0.826 5.455
Nd 1.240 -2.499 7.570
Nd 9.453 0.932 3.974
Nd 8.410 -0.826 1.340
Nd 7.265 -0.932 8.089
Nd 7.873 -2.499 4.774
Tm 6.744 2.472 2.057
Tm 4.556 -2.472 6.172
```

***

What is the stability order? It is entry P, entry Q, from most stable to least stable.

***

Entry P
Compound: AcNd8Y2
Source: Alexandria
Functional: PBE
Structure: optimized geometry

extended XYZ file:
```
11
Lattice="4.680 -8.539 0.000 4.680 8.539 0.000 -3.565 0.000 4.961" Properties=species:S:1:pos:R:3 pbc="T T T"
Ac 0.000 0.000 0.000
Nd -0.399 2.094 3.433
Nd 4.680 4.994 0.000
Nd -0.399 -2.094 3.433
Nd 3.329 0.000 1.028
Nd 2.467 0.000 3.933
Nd 6.195 2.094 1.528
Nd 4.680 -4.994 0.000
Nd 6.195 -2.094 1.528
Y 2.898 3.218 2.480
Y 2.898 -3.218 2.480
```

***

Entry Q
Compound: AcNd8Y2
Source: Alexandria
Functional: PBE
Structure: optimized geometry

extended XYZ file:
```
11
Lattice="-2.847 4.284 8.137 2.847 -4.284 8.137 2.847 4.284 -8.137" Properties=species:S:1:pos:R:3 pbc="T T T"
Ac 0.000 0.000 0.000
Nd 2.847 -1.727 5.796
Nd 2.847 0.000 2.620
Nd 2.847 2.546 0.000
Nd 0.000 2.557 2.342
Nd 2.847 1.727 5.796
Nd 0.000 1.738 8.137
Nd 0.000 4.284 5.518
Nd 0.000 6.011 2.342
Y 0.000 0.000 4.873
Y 0.000 0.000 11.402
```

***

What is the stability order? It is entry Q, entry P, from most stable to least stable.

***

Entry P
Compound: AcNd2Y8
Source: Alexandria
Functional: PBE
Structure: optimized geometry

extended XYZ file:
```
11
Lattice="-2.785 4.153 8.212 2.785 -4.153 8.212 2.785 4.153 -8.212" Properties=species:S:1:pos:R:3 pbc="T T T"
Ac 0.000 0.000 0.000
Nd 0.000 0.000 4.941
Nd 0.000 0.000 11.483
Y 2.785 -1.708 5.837
Y 2.785 0.000 2.647
Y 2.785 2.460 0.000
Y 0.000 2.444 2.375
Y 2.785 1.708 5.837
Y 0.000 1.692 8.212
Y 0.000 4.153 5.565
Y 0.000 5.861 2.375
```

***

Entry Q
Compound: AcNd2Y8
Source: Alexandria
Functional: PBE
Structure: optimized geometry

extended XYZ file:
```
11
Lattice="9.723 -3.590 0.000 9.723 3.590 0.000 -0.299 0.000 5.578" Properties=species:S:1:pos:R:3 pbc="T T T"
Ac 0.000 0.000 0.000
Nd 5.326 0.000 4.203
Nd 13.822 0.000 1.375
Y 7.034 1.659 1.510
Y 3.606 0.000 1.306
Y 12.114 1.659 4.068
Y 8.590 0.000 4.243
Y 10.558 0.000 1.335
Y 7.034 -1.659 1.510
Y 15.543 0.000 4.272
Y 12.114 -1.659 4.068
```

***

What is the stability order? It is entry P, entry Q, from most stable to least stable.